The following is a DFT calculation (PBE) of a relaxed CaGa6Cu12 crystal.

Volume (Å³/cell): 287.4
Calculated formation energy (eV per atom): -0.027
Uncorrected energy (eV/atom): -3.675
Crystal system: trigonal
Magnetic moment (μB per cell): 0.000

a = 6.843 Å, b = 6.843 Å, c = 6.843 Å
α = 103.71°, β = 103.71°, γ = 103.71°
Element x y z (fractional)
Ca  0.000  0.000  0.000
Ga  0.281  0.281  0.698
Ga  0.281  0.698  0.281
Ga  0.302  0.719  0.719
Ga  0.698  0.281  0.281
Ga  0.719  0.302  0.719
Ga  0.719  0.719  0.302
Cu  0.112  0.500  0.888
Cu  0.112  0.888  0.500
Cu  0.123  0.379  0.379
Cu  0.379  0.123  0.379
Cu  0.379  0.379  0.123
Cu  0.500  0.112  0.888
Cu  0.500  0.888  0.112
Cu  0.621  0.621  0.877
Cu  0.621  0.877  0.621
Cu  0.877  0.621  0.621
Cu  0.888  0.112  0.500
Cu  0.888  0.500  0.112

The following is a DFT calculation (PBE) of a relaxed Li2Cd3Cu crystal.

Volume (Å³/cell): 103.2
Calculated formation energy (eV per atom): -0.179
Uncorrected energy (eV/atom): -1.958
Crystal system: trigonal
Magnetic moment (μB per cell): 0.000

a = 4.625 Å, b = 4.625 Å, c = 5.571 Å
α = 90.00°, β = 90.00°, γ = 120.00°
Element x y z (fractional)
Li  0.333  0.667  0.180
Li  0.667  0.333  0.820
Cd  0.000  0.000  0.000
Cd  0.333  0.667  0.672
Cd  0.667  0.333  0.328
Cu  0.000  0.000  0.500

The following is a DFT calculation (PBE) of a relaxed LiTa2Se crystal.

Uncorrected formation energy (eV per atom): 0.4061
Volume (Å³/cell): 147.1
Uncorrected energy (eV/atom): -6.870
Crystal system: orthorhombic
Magnetic moment (μB per cell): 0.000

a = 3.173 Å, b = 5.002 Å, c = 9.266 Å
α = 90.00°, β = 90.00°, γ = 90.00°
Element x y z (fractional)
Li  0.000  0.000  0.000
Li  0.500  0.500  0.000
Ta  0.000  0.500  0.272
Ta  0.000  0.500  0.728
Ta  0.500  0.000  0.272
Ta  0.500  0.000  0.728
Se  0.000  0.000  0.500
Se  0.500  0.500  0.500

The following is a DFT calculation (PBE) of a relaxed ZrScTe2 crystal.

Excess energy over the best structure of this formula in the dataset (meV/atom): 590
Uncorrected formation energy (eV per atom): -0.4154
Volume (Å³/cell): 557.6
Uncorrected energy (eV/atom): -5.706
Crystal system: tetragonal
Magnetic moment (μB per cell): 2.443

a = 6.563 Å, b = 6.563 Å, c = 12.945 Å
α = 90.00°, β = 90.00°, γ = 90.00°
Element x y z (fractional)
Zr  0.000  0.000  0.000
Zr  0.000  0.500  0.250
Zr  0.500  0.000  0.750
Zr  0.500  0.500  0.500
Sc  0.000  0.000  0.500
Sc  0.000  0.500  0.750
Sc  0.500  0.000  0.250
Sc  0.500  0.500  0.000
Te  0.247  0.250  0.625
Te  0.250  0.747  0.875
Te  0.250  0.753  0.375
Te  0.253  0.250  0.125
Te  0.747  0.750  0.125
Te  0.750  0.247  0.375
Te  0.750  0.253  0.875
Te  0.753  0.750  0.625

The following is a DFT calculation (PBE) of a relaxed CaMoPd crystal.

Excess energy over the best structure of this formula in the dataset (meV/atom): 249
Volume (Å³/cell): 266.6
Calculated formation energy (eV per atom): 0.149
Uncorrected energy (eV/atom): -5.859
Crystal system: monoclinic
Magnetic moment (μB per cell): 0.000

a = 8.965 Å, b = 4.753 Å, c = 6.454 Å
α = 90.00°, β = 104.18°, γ = 90.00°
Element x y z (fractional)
Ca  0.000  0.000  0.000
Ca  0.227  0.500  0.377
Ca  0.500  0.500  0.000
Ca  0.727  0.000  0.377
Mo  0.239  0.000  0.718
Mo  0.442  0.000  0.590
Mo  0.739  0.500  0.718
Mo  0.942  0.500  0.590
Pd  0.186  0.500  0.904
Pd  0.346  0.000  0.159
Pd  0.686  0.000  0.904
Pd  0.846  0.500  0.159

The following is a DFT calculation (PBE) of a relaxed UBeCo crystal.

Volume (Å³/cell): 155.8
Calculated formation energy (eV per atom): -0.011
Uncorrected energy (eV/atom): -7.385
Crystal system: orthorhombic
Magnetic moment (μB per cell): 0.002

a = 2.695 Å, b = 18.845 Å, c = 3.067 Å
α = 90.00°, β = 90.00°, γ = 90.00°
Element x y z (fractional)
U  0.000  0.183  0.250
U  0.000  0.817  0.750
U  0.500  0.317  0.750
U  0.500  0.683  0.250
Be  0.000  0.034  0.250
Be  0.000  0.966  0.750
Be  0.500  0.466  0.750
Be  0.500  0.534  0.250
Co  0.000  0.429  0.250
Co  0.000  0.571  0.750
Co  0.500  0.071  0.750
Co  0.500  0.929  0.250

The following is a DFT calculation (PBE) of a relaxed Rb2PuU3O12 crystal.

Uncorrected formation energy (eV per atom): -2.9291
Volume (Å³/cell): 355.0
Uncorrected energy (eV/atom): -9.020
Crystal system: trigonal
Magnetic moment (μB per cell): 4.146

a = 7.887 Å, b = 7.887 Å, c = 7.887 Å
α = 61.04°, β = 61.04°, γ = 61.04°
Element x y z (fractional)
Rb  0.141  0.141  0.141
Rb  0.859  0.859  0.859
Pu  0.500  0.500  0.500
U  0.000  0.500  0.500
U  0.500  0.000  0.500
U  0.500  0.500  0.000
O  0.171  0.569  0.569
O  0.188  0.188  0.562
O  0.188  0.562  0.188
O  0.431  0.431  0.829
O  0.431  0.829  0.431
O  0.438  0.812  0.812
O  0.562  0.188  0.188
O  0.569  0.171  0.569
O  0.569  0.569  0.171
O  0.812  0.438  0.812
O  0.812  0.812  0.438
O  0.829  0.431  0.431

The following is a DFT calculation (PBE) of a relaxed VTe2IBr crystal.

Excess energy over the best structure of this formula in the dataset (meV/atom): 969
Uncorrected formation energy (eV per atom): 1.0742
Volume (Å³/cell): 182.6
Uncorrected energy (eV/atom): -2.651
Crystal system: tetragonal
Magnetic moment (μB per cell): 2.579

a = 5.680 Å, b = 5.680 Å, c = 5.659 Å
α = 90.00°, β = 90.00°, γ = 90.00°
Element x y z (fractional)
V  0.000  0.000  0.000
Te  0.000  0.500  0.500
Te  0.500  0.000  0.500
I  0.500  0.500  0.000
Br  0.500  0.500  0.500